1.
A plane-wave DFT calculation with PBE-GGA was carried out for a geometry-optimized InSbOs4 structure.

Calculated values
**Space group**: No. 216
**Total energy**: -0.5759 Ry per atom
**Crystal system**: cubic
**Total magnetic moment**: 0.0 μB/f.u.
**Mass density**: 15.63 g/cm³
**Uncorrected formation energy**: 0.80 eV/atom

Unit cell a=5.311 b=5.311 c=5.311 alpha=60.00 beta=60.00 gamma=60.00
Atoms (fractional coordinates):
In  0.000  0.000  0.000
Sb  0.250  0.250  0.250
Os  0.125  0.625  0.625
Os  0.625  0.125  0.625
Os  0.625  0.625  0.125
Os  0.625  0.625  0.625

=====

2.
A plane-wave DFT calculation with PBE-GGA was carried out for a geometry-optimized CaZr2Tc structure.

Calculated values
**Space group**: No. 123
**Total energy**: -0.5171 Ry per atom
**Crystal system**: tetragonal
**Total magnetic moment**: 0.0 μB/f.u.
**Mass density**: 6.24 g/cm³

Unit cell a=4.829 b=4.829 c=3.657 alpha=90.00 beta=90.00 gamma=90.00
Atoms (fractional coordinates):
Ca  0.000  0.000  0.000
Zr  0.000  0.500  0.500
Zr  0.500  0.000  0.500
Tc  0.500  0.500  0.000

=====

3.
A plane-wave DFT calculation with PBE-GGA was carried out for a geometry-optimized Li2HoUO6 structure.

Calculated values
**Space group**: No. 14
**Total energy**: -0.5605 Ry per atom
**Crystal system**: monoclinic
**Total magnetic moment**: 0.8 μB/f.u.
**Mass density**: 6.77 g/cm³
**Uncorrected formation energy**: -2.68 eV/atom

Unit cell a=5.527 b=5.663 c=9.744 alpha=90.00 beta=124.48 gamma=90.00
Atoms (fractional coordinates):
Li  0.238  0.011  0.255
Li  0.238  0.489  0.755
Li  0.762  0.511  0.245
Li  0.762  0.989  0.745
Ho  0.500  0.000  0.000
Ho  0.500  0.500  0.500
U  0.000  0.000  0.500
U  0.000  0.500  0.000
O  0.110  0.082  0.738
O  0.110  0.418  0.238
O  0.221  0.682  0.573
O  0.221  0.818  0.073
O  0.388  0.157  0.564
O  0.388  0.343  0.064
O  0.612  0.657  0.936
O  0.612  0.843  0.436
O  0.779  0.182  0.927
O  0.779  0.318  0.427
O  0.890  0.582  0.762
O  0.890  0.918  0.262

=====

4.
A plane-wave DFT calculation with PBE-GGA was carried out for a geometry-optimized PaAlReW structure.

Calculated values
**Space group**: No. 216
**Total energy**: -0.7027 Ry per atom
**Crystal system**: cubic
**Total magnetic moment**: 0.0 μB/f.u.
**Mass density**: 14.69 g/cm³

Unit cell a=4.648 b=4.648 c=4.648 alpha=60.00 beta=60.00 gamma=60.00
Atoms (fractional coordinates):
Pa  0.000  0.000  0.000
Al  0.500  0.500  0.500
Re  0.750  0.750  0.750
W  0.250  0.250  0.250

=====

5.
A plane-wave DFT calculation with PBE-GGA was carried out for a geometry-optimized Al3AgB4O12 structure.

Calculated values
**Space group**: No. 155
**Total energy**: -0.5370 Ry per atom
**Crystal system**: trigonal
**Total magnetic moment**: 0.0 μB/f.u.
**Mass density**: 3.81 g/cm³
**Uncorrected formation energy**: -2.29 eV/atom

Unit cell a=5.930 b=5.930 c=5.930 alpha=104.35 beta=104.35 gamma=104.35
Atoms (fractional coordinates):
Al  0.000  0.559  0.441
Al  0.441  0.000  0.559
Al  0.559  0.441  0.000
Ag  0.000  0.000  0.000
B  0.055  0.500  0.945
B  0.500  0.500  0.500
B  0.500  0.945  0.055
B  0.945  0.055  0.500
O  0.036  0.624  0.777
O  0.092  0.908  0.500
O  0.223  0.376  0.964
O  0.352  0.648  0.500
O  0.376  0.964  0.223
O  0.500  0.092  0.908
O  0.500  0.352  0.648
O  0.624  0.777  0.036
O  0.648  0.500  0.352
O  0.777  0.036  0.624
O  0.908  0.500  0.092
O  0.964  0.223  0.376

=====

6.
A plane-wave DFT calculation with PBE-GGA was carried out for a geometry-optimized Ac2LaErTe5 structure.

Calculated values
**Space group**: No. 123
**Total energy**: -0.3533 Ry per atom
**Crystal system**: tetragonal
**Total magnetic moment**: 0.0 μB/f.u.
**Mass density**: 6.53 g/cm³
**Uncorrected formation energy**: -1.09 eV/atom

Unit cell a=5.464 b=5.464 c=11.906 alpha=90.00 beta=90.00 gamma=90.00
Atoms (fractional coordinates):
Ac  0.000  0.000  0.199
Ac  0.000  0.000  0.801
La  0.500  0.500  0.500
Er  0.500  0.500  0.000
Te  0.000  0.000  0.500
Te  0.000  0.500  0.000
Te  0.500  0.000  0.000
Te  0.500  0.500  0.249
Te  0.500  0.500  0.751

=====

7.
A plane-wave DFT calculation with PBE-GGA was carried out for a geometry-optimized Ba4ZnNi structure.

Calculated values
**Space group**: No. 216
**Total energy**: -0.1189 Ry per atom
**Crystal system**: cubic
**Total magnetic moment**: 0.4 μB/f.u.
**Mass density**: 4.35 g/cm³

Unit cell a=7.139 b=7.139 c=7.139 alpha=60.00 beta=60.00 gamma=60.00
Atoms (fractional coordinates):
Ba  0.125  0.125  0.125
Ba  0.125  0.125  0.626
Ba  0.125  0.626  0.125
Ba  0.626  0.125  0.125
Zn  0.500  0.500  0.500
Ni  0.750  0.750  0.750

=====

8.
A plane-wave DFT calculation with PBE-GGA was carried out for a geometry-optimized Tb4TlSbO structure.

Calculated values
**Space group**: No. 63
**Total energy**: -0.4065 Ry per atom
**Crystal system**: orthorhombic
**Total magnetic moment**: 0.0 μB/f.u.
**Mass density**: 9.18 g/cm³
**Uncorrected formation energy**: -1.25 eV/atom

Unit cell a=9.092 b=9.092 c=6.485 alpha=90.00 beta=90.00 gamma=138.71
Atoms (fractional coordinates):
Tb  0.000  0.500  0.000
Tb  0.000  0.500  0.500
Tb  0.071  0.929  0.750
Tb  0.423  0.577  0.750
Tb  0.500  0.000  0.000
Tb  0.500  0.000  0.500
Tb  0.577  0.423  0.250
Tb  0.929  0.071  0.250
Tl  0.391  0.609  0.250
Tl  0.609  0.391  0.750
Sb  0.113  0.887  0.250
Sb  0.887  0.113  0.750
O  0.284  0.716  0.750
O  0.716  0.284  0.250